Record 1
{
  "formula": "NbTlB2",
  "functional": "PBEsol",
  "state": "optimized geometry",
  "n_ef_per_ev_fu": 1.4,
  "total_energy_ev_per_atom": -5.90,
  "cell": [[-3.013, 3.013, 3.255], [3.013, -3.013, 3.255], [3.013, 3.013, -3.255]],
  "species": ["Nb", "Nb", "Tl", "Tl", "B", "B", "B", "B"],
  "fractional_positions": [[0.000, 0.000, 0.000], [0.750, 0.250, 0.500], [0.250, 0.750, 0.500], [0.500, 0.500, 0.000], [0.115, 0.125, 0.490], [0.375, 0.885, 0.010], [0.635, 0.625, 0.510], [0.875, 0.365, 0.990]]
}

Record 2
{
  "formula": "Nb2VB2",
  "functional": "PBEsol",
  "state": "optimized geometry",
  "n_ef_per_ev_fu": 1.8,
  "total_energy_ev_per_atom": -9.80,
  "cell": [[5.990, 0.000, 0.000], [0.000, 5.990, 0.000], [0.000, 0.000, 3.236]],
  "species": ["Nb", "Nb", "Nb", "Nb", "V", "V", "B", "B", "B", "B"],
  "fractional_positions": [[0.181, 0.319, 0.000], [0.319, 0.819, 0.000], [0.681, 0.181, 0.000], [0.819, 0.681, 0.000], [0.000, 0.000, 0.500], [0.500, 0.500, 0.500], [0.109, 0.609, 0.500], [0.391, 0.109, 0.500], [0.609, 0.891, 0.500], [0.891, 0.391, 0.500]]
}

Record 3
{
  "formula": "NbB2W",
  "functional": "PBEsol",
  "state": "optimized geometry",
  "n_ef_per_ev_fu": 1.5,
  "total_energy_ev_per_atom": -10.31,
  "cell": [[3.113, 0.000, 0.000], [0.000, 1.610, 4.295], [0.000, -1.610, 4.295]],
  "species": ["Nb", "B", "B", "W"],
  "fractional_positions": [[0.000, 0.000, 0.000], [0.000, 0.708, 0.708], [0.500, 0.589, 0.589], [0.500, 0.290, 0.290]]
}

Record 4
{
  "formula": "Nd2B5",
  "functional": "PBEsol",
  "state": "optimized geometry",
  "n_ef_per_ev_fu": 1.7,
  "total_energy_ev_per_atom": -7.05,
  "cell": [[7.511, -3.615, 0.000], [7.511, 3.615, 0.000], [-2.336, 0.000, 6.878]],
  "species": ["Nd", "Nd", "Nd", "Nd", "Nd", "Nd", "Nd", "Nd", "B", "B", "B", "B", "B", "B", "B", "B", "B", "B", "B", "B", "B", "B", "B", "B", "B", "B", "B", "B"],
  "fractional_positions": [[0.058, 0.179, 0.224], [0.179, 0.058, 0.724], [0.311, 0.450, 0.398], [0.450, 0.311, 0.898], [0.550, 0.689, 0.102], [0.689, 0.550, 0.602], [0.821, 0.942, 0.276], [0.942, 0.821, 0.776], [0.040, 0.462, 0.829], [0.090, 0.591, 0.059], [0.091, 0.410, 0.591], [0.172, 0.328, 0.040], [0.203, 0.713, 0.146], [0.287, 0.797, 0.354], [0.328, 0.172, 0.540], [0.409, 0.910, 0.441], [0.410, 0.091, 0.091], [0.462, 0.040, 0.329], [0.538, 0.960, 0.671], [0.590, 0.909, 0.909], [0.591, 0.090, 0.559], [0.672, 0.828, 0.460], [0.713, 0.203, 0.646], [0.797, 0.287, 0.854], [0.828, 0.672, 0.960], [0.909, 0.590, 0.409], [0.910, 0.409, 0.941], [0.960, 0.538, 0.171]]
}

Record 5
{
  "formula": "NdNi4B",
  "functional": "PBEsol",
  "state": "optimized geometry",
  "n_ef_per_ev_fu": 2.1,
  "total_energy_ev_per_atom": -6.58,
  "cell": [[4.980, 0.000, 0.000], [-2.490, 4.313, 0.000], [0.000, 0.000, 6.901]],
  "species": ["Nd", "Nd", "Ni", "Ni", "Ni", "Ni", "Ni", "Ni", "Ni", "Ni", "B", "B"],
  "fractional_positions": [[0.000, 0.000, 0.000], [0.000, 0.000, 0.500], [0.000, 0.500, 0.208], [0.000, 0.500, 0.792], [0.333, 0.667, 0.500], [0.500, 0.000, 0.208], [0.500, 0.000, 0.792], [0.500, 0.500, 0.208], [0.500, 0.500, 0.792], [0.667, 0.333, 0.500], [0.333, 0.667, 0.000], [0.667, 0.333, 0.000]]
}

Record 6
{
  "formula": "NdNiB5O10",
  "functional": "PBEsol",
  "state": "optimized geometry",
  "e_form_raw_mev_per_atom": -2432,
  "total_energy_ev_per_atom": -8.25,
  "cell": [[8.584, 0.000, 0.000], [0.000, 7.549, 0.000], [-7.951, 0.000, 9.473]],
  "species": ["Nd", "Nd", "Nd", "Nd", "Ni", "Ni", "Ni", "Ni", "B", "B", "B", "B", "B", "B", "B", "B", "B", "B", "B", "B", "B", "B", "B", "B", "B", "B", "B", "B", "O", "O", "O", "O", "O", "O", "O", "O", "O", "O", "O", "O", "O", "O", "O", "O", "O", "O", "O", "O", "O", "O", "O", "O", "O", "O", "O", "O", "O", "O", "O", "O", "O", "O", "O", "O", "O", "O", "O", "O"],
  "fractional_positions": [[0.058, 0.180, 0.235], [0.058, 0.320, 0.735], [0.942, 0.680, 0.265], [0.942, 0.820, 0.765], [0.471, 0.588, 0.871], [0.471, 0.912, 0.371], [0.529, 0.088, 0.629], [0.529, 0.412, 0.129], [0.090, 0.675, 0.608], [0.090, 0.825, 0.108], [0.158, 0.599, 0.999], [0.158, 0.901, 0.499], [0.275, 0.035, 0.054], [0.275, 0.465, 0.554], [0.348, 0.578, 0.260], [0.348, 0.922, 0.760], [0.483, 0.189, 0.914], [0.483, 0.311, 0.414], [0.517, 0.689, 0.586], [0.517, 0.811, 0.086], [0.652, 0.078, 0.240], [0.652, 0.422, 0.740], [0.725, 0.535, 0.446], [0.725, 0.965, 0.946], [0.842, 0.099, 0.501], [0.842, 0.401, 0.001], [0.910, 0.175, 0.892], [0.910, 0.325, 0.392], [0.029, 0.724, 0.987], [0.029, 0.776, 0.487], [0.092, 0.107, 0.917], [0.092, 0.393, 0.417], [0.117, 0.551, 0.879], [0.117, 0.949, 0.379], [0.200, 0.709, 0.234], [0.200, 0.791, 0.734], [0.233, 0.525, 0.649], [0.233, 0.975, 0.149], [0.320, 0.091, 0.804], [0.320, 0.409, 0.304], [0.322, 0.537, 0.130], [0.322, 0.963, 0.630], [0.324, 0.625, 0.508], [0.324, 0.875, 0.008], [0.427, 0.149, 0.432], [0.427, 0.351, 0.932], [0.450, 0.154, 0.133], [0.450, 0.346, 0.633], [0.550, 0.654, 0.367], [0.550, 0.846, 0.867], [0.573, 0.649, 0.068], [0.573, 0.851, 0.568], [0.676, 0.125, 0.992], [0.676, 0.375, 0.492], [0.678, 0.037, 0.370], [0.678, 0.463, 0.870], [0.680, 0.591, 0.696], [0.680, 0.909, 0.196], [0.767, 0.025, 0.851], [0.767, 0.475, 0.351], [0.800, 0.209, 0.266], [0.800, 0.291, 0.766], [0.883, 0.051, 0.621], [0.883, 0.449, 0.121], [0.908, 0.607, 0.583], [0.908, 0.893, 0.083], [0.971, 0.224, 0.513], [0.971, 0.276, 0.013]]
}

Record 7
{
  "formula": "NdBO3",
  "functional": "PBEsol",
  "state": "optimized geometry",
  "n_ef_per_ev_fu": 0.0,
  "e_form_raw_mev_per_atom": -3068,
  "total_energy_ev_per_atom": -8.65,
  "cell": [[5.804, 0.000, 0.000], [0.000, 5.084, 0.000], [0.000, 0.000, 8.142]],
  "species": ["Nd", "Nd", "Nd", "Nd", "B", "B", "B", "B", "O", "O", "O", "O", "O", "O", "O", "O", "O", "O", "O", "O"],
  "fractional_positions": [[0.242, 0.250, 0.085], [0.258, 0.750, 0.585], [0.742, 0.250, 0.415], [0.758, 0.750, 0.915], [0.080, 0.250, 0.738], [0.420, 0.750, 0.238], [0.580, 0.250, 0.762], [0.920, 0.750, 0.262], [0.085, 0.015, 0.824], [0.085, 0.485, 0.824], [0.095, 0.250, 0.569], [0.405, 0.750, 0.069], [0.415, 0.515, 0.324], [0.415, 0.985, 0.324], [0.585, 0.015, 0.676], [0.585, 0.485, 0.676], [0.595, 0.250, 0.931], [0.905, 0.750, 0.431], [0.915, 0.515, 0.176], [0.915, 0.985, 0.176]]
}

Record 8
{
  "formula": "NdB3O6",
  "functional": "PBEsol",
  "state": "optimized geometry",
  "n_ef_per_ev_fu": 0.0,
  "e_form_raw_mev_per_atom": -2779,
  "total_energy_ev_per_atom": -8.55,
  "cell": [[4.872, -4.039, 0.000], [4.872, 4.039, 0.000], [-3.729, 0.000, 5.102]],
  "species": ["Nd", "Nd", "B", "B", "B", "B", "B", "B", "O", "O", "O", "O", "O", "O", "O", "O", "O", "O", "O", "O"],
  "fractional_positions": [[0.197, 0.803, 0.750], [0.803, 0.197, 0.250], [0.209, 0.341, 0.915], [0.220, 0.780, 0.250], [0.341, 0.209, 0.415], [0.659, 0.791, 0.585], [0.780, 0.220, 0.750], [0.791, 0.659, 0.085], [0.005, 0.785, 0.290], [0.209, 0.587, 0.006], [0.211, 0.390, 0.500], [0.215, 0.995, 0.210], [0.390, 0.211, 0.000], [0.413, 0.791, 0.494], [0.587, 0.209, 0.506], [0.610, 0.789, 0.000], [0.785, 0.005, 0.790], [0.789, 0.610, 0.500], [0.791, 0.413, 0.994], [0.995, 0.215, 0.710]]
}

Record 9
{
  "formula": "Nd13B4O26",
  "functional": "PBEsol",
  "state": "optimized geometry",
  "n_ef_per_ev_fu": 20.7,
  "e_form_raw_mev_per_atom": -3196,
  "total_energy_ev_per_atom": -8.59,
  "cell": [[6.722, 0.000, 0.000], [0.000, 12.632, 0.000], [-2.376, 0.000, 13.987]],
  "species": ["Nd", "Nd", "Nd", "Nd", "Nd", "Nd", "Nd", "Nd", "Nd", "Nd", "Nd", "Nd", "Nd", "Nd", "Nd", "Nd", "Nd", "Nd", "Nd", "Nd", "Nd", "Nd", "Nd", "Nd", "Nd", "Nd", "B", "B", "B", "B", "B", "B", "B", "B", "O", "O", "O", "O", "O", "O", "O", "O", "O", "O", "O", "O", "O", "O", "O", "O", "O", "O", "O", "O", "O", "O", "O", "O", "O", "O", "O", "O", "O", "O", "O", "O", "O", "O", "O", "O", "O", "O", "O", "O", "O", "O", "O", "O", "O", "O", "O", "O", "O", "O", "O", "O"],
  "fractional_positions": [[0.000, 0.000, 0.000], [0.000, 0.500, 0.500], [0.054, 0.216, 0.200], [0.054, 0.284, 0.700], [0.142, 0.192, 0.469], [0.142, 0.308, 0.969], [0.234, 0.501, 0.169], [0.234, 0.999, 0.669], [0.330, 0.616, 0.945], [0.330, 0.884, 0.445], [0.378, 0.698, 0.665], [0.378, 0.802, 0.165], [0.488, 0.611, 0.415], [0.488, 0.889, 0.915], [0.512, 0.111, 0.085], [0.512, 0.389, 0.585], [0.622, 0.198, 0.835], [0.622, 0.302, 0.335], [0.670, 0.116, 0.555], [0.670, 0.384, 0.055], [0.766, 0.001, 0.331], [0.766, 0.499, 0.831], [0.858, 0.692, 0.031], [0.858, 0.808, 0.531], [0.946, 0.716, 0.300], [0.946, 0.784, 0.800], [0.140, 0.095, 0.837], [0.140, 0.405, 0.337], [0.321, 0.054, 0.290], [0.321, 0.446, 0.790], [0.679, 0.554, 0.210], [0.679, 0.946, 0.710], [0.860, 0.595, 0.663], [0.860, 0.905, 0.163], [0.012, 0.650, 0.632], [0.012, 0.850, 0.132], [0.023, 0.134, 0.605], [0.023, 0.366, 0.105], [0.142, 0.076, 0.323], [0.142, 0.424, 0.823], [0.161, 0.155, 0.068], [0.161, 0.345, 0.568], [0.164, 0.513, 0.350], [0.164, 0.987, 0.850], [0.196, 0.658, 0.091], [0.196, 0.842, 0.591], [0.268, 0.150, 0.786], [0.268, 0.350, 0.286], [0.283, 0.741, 0.324], [0.283, 0.759, 0.824], [0.334, 0.047, 0.530], [0.334, 0.453, 0.030], [0.345, 0.554, 0.551], [0.345, 0.946, 0.051], [0.401, 0.547, 0.790], [0.401, 0.953, 0.290], [0.427, 0.136, 0.256], [0.427, 0.364, 0.756], [0.476, 0.248, 0.975], [0.476, 0.252, 0.475], [0.524, 0.748, 0.525], [0.524, 0.752, 0.025], [0.573, 0.636, 0.244], [0.573, 0.864, 0.744], [0.599, 0.047, 0.710], [0.599, 0.453, 0.210], [0.655, 0.054, 0.949], [0.655, 0.446, 0.449], [0.666, 0.547, 0.970], [0.666, 0.953, 0.470], [0.717, 0.241, 0.176], [0.717, 0.259, 0.676], [0.732, 0.650, 0.714], [0.732, 0.850, 0.214], [0.804, 0.158, 0.409], [0.804, 0.342, 0.909], [0.836, 0.013, 0.150], [0.836, 0.487, 0.650], [0.839, 0.655, 0.432], [0.839, 0.845, 0.932], [0.858, 0.576, 0.177], [0.858, 0.924, 0.677], [0.977, 0.634, 0.895], [0.977, 0.866, 0.395], [0.988, 0.150, 0.868], [0.988, 0.350, 0.368]]
}

Record 10
{
  "formula": "Nd3BWO9",
  "functional": "PBEsol",
  "state": "optimized geometry",
  "n_ef_per_ev_fu": 0.0,
  "e_form_raw_mev_per_atom": -3041,
  "total_energy_ev_per_atom": -9.01,
  "cell": [[8.661, 0.000, 0.000], [-4.330, 7.501, 0.000], [0.000, 0.000, 5.492]],
  "species": ["Nd", "Nd", "Nd", "Nd", "Nd", "Nd", "B", "B", "W", "W", "O", "O", "O", "O", "O", "O", "O", "O", "O", "O", "O", "O", "O", "O", "O", "O", "O", "O"],
  "fractional_positions": [[0.085, 0.359, 0.000], [0.274, 0.915, 0.000], [0.359, 0.274, 0.500], [0.641, 0.726, 0.000], [0.726, 0.085, 0.500], [0.915, 0.641, 0.500], [0.000, 0.000, 0.343], [0.000, 0.000, 0.843], [0.333, 0.667, 0.458], [0.667, 0.333, 0.958], [0.047, 0.178, 0.352], [0.130, 0.953, 0.352], [0.138, 0.622, 0.231], [0.178, 0.130, 0.852], [0.198, 0.727, 0.664], [0.273, 0.471, 0.664], [0.378, 0.516, 0.231], [0.471, 0.198, 0.164], [0.484, 0.862, 0.231], [0.516, 0.138, 0.731], [0.529, 0.802, 0.664], [0.622, 0.484, 0.731], [0.727, 0.529, 0.164], [0.802, 0.273, 0.164], [0.822, 0.870, 0.352], [0.862, 0.378, 0.731], [0.870, 0.047, 0.852], [0.953, 0.822, 0.852]]
}

Record 11
{
  "formula": "NdZnB5O10",
  "functional": "PBEsol",
  "state": "optimized geometry",
  "n_ef_per_ev_fu": 0.0,
  "e_form_raw_mev_per_atom": -2558,
  "total_energy_ev_per_atom": -8.11,
  "cell": [[8.668, 0.000, 0.000], [0.000, 7.610, 0.000], [-8.148, 0.000, 9.435]],
  "species": ["Nd", "Nd", "Nd", "Nd", "Zn", "Zn", "Zn", "Zn", "B", "B", "B", "B", "B", "B", "B", "B", "B", "B", "B", "B", "B", "B", "B", "B", "B", "B", "B", "B", "O", "O", "O", "O", "O", "O", "O", "O", "O", "O", "O", "O", "O", "O", "O", "O", "O", "O", "O", "O", "O", "O", "O", "O", "O", "O", "O", "O", "O", "O", "O", "O", "O", "O", "O", "O", "O", "O", "O", "O"],
  "fractional_positions": [[0.054, 0.184, 0.236], [0.054, 0.316, 0.736], [0.946, 0.684, 0.264], [0.946, 0.816, 0.764], [0.484, 0.588, 0.876], [0.484, 0.912, 0.376], [0.516, 0.088, 0.624], [0.516, 0.412, 0.124], [0.091, 0.673, 0.609], [0.091, 0.827, 0.109], [0.154, 0.598, 0.000], [0.154, 0.902, 0.500], [0.273, 0.032, 0.053], [0.273, 0.468, 0.553], [0.347, 0.579, 0.263], [0.347, 0.921, 0.763], [0.484, 0.187, 0.915], [0.484, 0.313, 0.415], [0.516, 0.687, 0.585], [0.516, 0.813, 0.085], [0.653, 0.079, 0.237], [0.653, 0.421, 0.737], [0.727, 0.532, 0.447], [0.727, 0.968, 0.947], [0.846, 0.098, 0.500], [0.846, 0.402, 0.000], [0.909, 0.173, 0.891], [0.909, 0.327, 0.391], [0.027, 0.726, 0.986], [0.027, 0.774, 0.486], [0.089, 0.106, 0.916], [0.089, 0.394, 0.416], [0.117, 0.546, 0.882], [0.117, 0.954, 0.382], [0.203, 0.713, 0.236], [0.203, 0.787, 0.736], [0.232, 0.525, 0.647], [0.232, 0.975, 0.147], [0.316, 0.535, 0.133], [0.316, 0.965, 0.633], [0.320, 0.087, 0.809], [0.320, 0.413, 0.309], [0.321, 0.627, 0.509], [0.321, 0.873, 0.009], [0.430, 0.151, 0.431], [0.430, 0.349, 0.931], [0.447, 0.151, 0.131], [0.447, 0.349, 0.631], [0.553, 0.651, 0.369], [0.553, 0.849, 0.869], [0.570, 0.651, 0.069], [0.570, 0.849, 0.569], [0.679, 0.127, 0.991], [0.679, 0.373, 0.491], [0.680, 0.587, 0.691], [0.680, 0.913, 0.191], [0.684, 0.035, 0.367], [0.684, 0.465, 0.867], [0.768, 0.025, 0.853], [0.768, 0.475, 0.353], [0.797, 0.213, 0.264], [0.797, 0.287, 0.764], [0.883, 0.046, 0.618], [0.883, 0.454, 0.118], [0.911, 0.606, 0.584], [0.911, 0.894, 0.084], [0.973, 0.226, 0.514], [0.973, 0.274, 0.014]]
}